[1]
# BaYPb2

A relaxed structure of BaYPb2 (PBE, Alexandria).

Calculated values
- Uncorrected energy: -4.29 eV/atom
- Energy relative to the elements: -1.4 eV per formula unit

a = 4.064 Å, b = 4.064 Å, c = 29.949 Å
α = 90.00°, β = 90.00°, γ = 120.00°
Fractional positions:
1 Ba 0.000 0.000 0.000
2 Ba 0.333 0.667 0.667
3 Ba 0.667 0.333 0.333
4 Y 0.000 0.000 0.500
5 Y 0.333 0.667 0.167
6 Y 0.667 0.333 0.833
7 Pb 0.000 0.000 0.243
8 Pb 0.000 0.000 0.757
9 Pb 0.333 0.667 0.424
10 Pb 0.333 0.667 0.909
11 Pb 0.667 0.333 0.091
12 Pb 0.667 0.333 0.576

=====

[2]
# Pr2Pd2Se

A relaxed structure of Pr2Pd2Se (PBE, Alexandria).

Calculated values
- Uncorrected energy: -5.81 eV/atom
- Uncorrected formation energy: -1.125 eV/atom

a = 4.368 Å, b = 4.368 Å, c = 23.296 Å
α = 90.00°, β = 90.00°, γ = 120.00°
Fractional positions:
1 Pr 0.000 0.000 0.085
2 Pr 0.000 0.000 0.915
3 Pr 0.333 0.667 0.582
4 Pr 0.333 0.667 0.752
5 Pr 0.667 0.333 0.248
6 Pr 0.667 0.333 0.418
7 Pd 0.000 0.000 0.317
8 Pd 0.000 0.000 0.683
9 Pd 0.333 0.667 0.349
10 Pd 0.333 0.667 0.984
11 Pd 0.667 0.333 0.016
12 Pd 0.667 0.333 0.651
13 Se 0.000 0.000 0.500
14 Se 0.333 0.667 0.167
15 Se 0.667 0.333 0.833

=====

no.,calculated density (g/cm3)
1,7.450
2,7.423